# TlNiF3, relaxed, DFT PBE with a Hubbard U
# calculated density = 5.9 g/cm3
# excess energy over the best structure of this formula in the dataset = 1.049 eV per formula unit
# raw total energy = -3.923 eV/atom
data_TlNiF3
_chemical_formula_sum 'Tl4 Ni4 F12'
_symmetry_space_group_name_H-M 'P n m a'
_symmetry_Int_Tables_number 62
_cell_length_a 6.1255
_cell_length_b 8.9561
_cell_length_c 6.5418
_cell_angle_alpha 90.00
_cell_angle_beta 90.00
_cell_angle_gamma 90.00
loop_
_symmetry_equiv_pos_as_xyz
'x,y,z'
'-x,-y,-z'
'-x+1/2,-y,z+1/2'
'x+1/2,y,-z+1/2'
'x+1/2,-y+1/2,-z+1/2'
'-x+1/2,y+1/2,z+1/2'
'-x,y+1/2,-z'
'x,-y+1/2,z'
loop_
_atom_site_label
_atom_site_fract_x
_atom_site_fract_y
_atom_site_fract_z
_atom_site_occupancy
Tl1 0.0000 0.0000 0.0000 1
Ni1 0.0216 0.2500 0.4500 1
F1 0.1123 0.0961 0.6286 1
F2 0.2479 0.2500 0.2259 1